# CeSm2ScSb4

A relaxed structure of CeSm2ScSb4 (GGA-PBE, Alexandria).

a = 7.6099 Å, b = 4.4088 Å, c = 7.6377 Å
α = 90.00°, β = 109.43°, γ = 90.00°
With the nearest neighbours (Å) after each atom.
Fractional coordinates of all 8 atoms:
Ce: 0.0000 0.0000 0.0000  6 Sb 3.11-3.12
Sm: 0.0000 0.5000 0.5000  6 Sb 3.20
Sm: 0.5000 0.0000 0.5000  6 Sb 3.12
Sc: 0.5000 0.5000 0.0000  6 Sb 3.03
Sb: 0.2565 0.5000 0.2431  1 Sc 3.03, 2 Ce 3.12, 3 Sm 3.12-3.20
Sb: 0.2630 0.0000 0.7639  2 Sc 3.03, 1 Ce 3.11, 3 Sm 3.12-3.20
Sb: 0.7370 0.0000 0.2361  2 Sc 3.03, 1 Ce 3.11, 3 Sm 3.12-3.20
Sb: 0.7435 0.5000 0.7569  1 Sc 3.03, 2 Ce 3.12, 3 Sm 3.12-3.20

Results
Formation energy without anion corrections   -1.06 eV/atom
Uncorrected energy   -5.84 eV per atom
DOS at the Fermi energy   0.89 states/eV per atom

=====

# TbCe2ScSb5

A relaxed structure of TbCe2ScSb5 (GGA-PBE, Alexandria).

a = 5.3883 Å, b = 5.3883 Å, c = 11.1534 Å
α = 90.00°, β = 90.00°, γ = 90.00°
With the nearest neighbours (Å) after each atom.
Fractional coordinates of all 9 atoms:
Tb: 0.0000 0.0000 0.0000  6 Sb 2.69-2.90
Ce: 0.5000 0.5000 0.2024  5 Sb 3.32-3.52
Ce: 0.5000 0.5000 0.7976  5 Sb 3.32-3.52
Sc: 0.0000 0.0000 0.5000  2 Sb 2.68
Sb: 0.0000 0.0000 0.2599  1 Sc 2.68, 1 Tb 2.90
Sb: 0.0000 0.0000 0.7401  1 Sc 2.68, 1 Tb 2.90
Sb: 0.0000 0.5000 0.0000  2 Tb 2.69
Sb: 0.5000 0.0000 0.0000  2 Tb 2.69
Sb: 0.5000 0.5000 0.5000  2 Ce 3.32

Results
Formation energy without anion corrections   -0.22 eV/atom
Uncorrected energy   -5.04 eV per atom
DOS at the Fermi energy   2.04 states/eV per atom

=====

# Tb2CeScSb4

A relaxed structure of Tb2CeScSb4 (GGA-PBE, Alexandria).

a = 7.5521 Å, b = 4.3741 Å, c = 7.5783 Å
α = 90.00°, β = 109.43°, γ = 90.00°
With the nearest neighbours (Å) after each atom.
Fractional coordinates of all 8 atoms:
Tb: 0.0000 0.0000 0.0000  6 Sb 3.15-3.16
Tb: 0.5000 0.5000 0.0000  6 Sb 3.07-3.08
Ce: 0.0000 0.5000 0.5000  6 Sb 3.10-3.11
Sc: 0.5000 0.0000 0.5000  6 Sb 3.02-3.03
Sb: 0.2582 0.0000 0.7478  1 Sc 3.02, 3 Tb 3.07-3.15, 2 Ce 3.11
Sb: 0.2615 0.5000 0.2593  2 Sc 3.03, 3 Tb 3.08-3.16, 1 Ce 3.10
Sb: 0.7385 0.5000 0.7407  2 Sc 3.03, 3 Tb 3.08-3.16, 1 Ce 3.10
Sb: 0.7418 0.0000 0.2522  1 Sc 3.02, 3 Tb 3.07-3.15, 2 Ce 3.11

Results
Formation energy without anion corrections   -1.05 eV/atom
Uncorrected energy   -5.80 eV per atom
DOS at the Fermi energy   0.89 states/eV per atom

=====

# TbCeSc2Sb4

A relaxed structure of TbCeSc2Sb4 (GGA-PBE, Alexandria).

a = 7.4320 Å, b = 4.3147 Å, c = 7.4731 Å
α = 90.00°, β = 109.50°, γ = 90.00°
With the nearest neighbours (Å) after each atom.
Fractional coordinates of all 8 atoms:
Tb: 0.0000 0.0000 0.0000  6 Sb 3.11
Ce: 0.0000 0.5000 0.5000  6 Sb 3.12-3.13
Sc: 0.5000 0.0000 0.5000  6 Sb 2.98
Sc: 0.5000 0.5000 0.0000  6 Sb 2.96
Sb: 0.2672 0.5000 0.2540  3 Sc 2.96-2.98, 2 Tb 3.11, 1 Ce 3.12
Sb: 0.2694 0.0000 0.7587  3 Sc 2.96-2.98, 1 Tb 3.11, 2 Ce 3.13
Sb: 0.7306 0.0000 0.2413  3 Sc 2.96-2.98, 1 Tb 3.11, 2 Ce 3.13
Sb: 0.7328 0.5000 0.7460  3 Sc 2.96-2.98, 2 Tb 3.11, 1 Ce 3.12

Results
Formation energy without anion corrections   -1.01 eV/atom
Uncorrected energy   -5.97 eV per atom
DOS at the Fermi energy   0.95 states/eV per atom

=====

# CeScSbTe

A relaxed structure of CeScSbTe (GGA-PBE, Alexandria).

a = 7.5401 Å, b = 7.5401 Å, c = 7.5401 Å
α = 33.36°, β = 33.36°, γ = 33.36°
With the nearest neighbours (Å) after each atom.
Fractional coordinates of all 4 atoms:
Ce: 0.0000 0.0000 0.0000  3 Sb 3.14, 3 Te 3.20
Sc: 0.5053 0.5053 0.5053  3 Sb 2.94, 3 Te 3.01
Sb: 0.2445 0.2445 0.2445  3 Sc 2.94, 3 Ce 3.14
Te: 0.7603 0.7603 0.7603  3 Sc 3.01, 3 Ce 3.20

Results
Formation energy without anion corrections   -1.14 eV/atom
Uncorrected energy   -6.02 eV per atom
DOS at the Fermi energy   1.98 states/eV per atom

=====

# Ce3Th4ScSb8

A relaxed structure of Ce3Th4ScSb8 (GGA-PBE, Alexandria).

a = 8.9335 Å, b = 8.9335 Å, c = 8.9335 Å
α = 60.04°, β = 60.04°, γ = 60.04°
With the nearest neighbours (Å) after each atom.
Fractional coordinates of all 16 atoms:
Ce: 0.0000 0.5000 0.5000  6 Sb 3.15
Ce: 0.5000 0.0000 0.5000  6 Sb 3.15
Ce: 0.5000 0.5000 0.0000  6 Sb 3.15
Th: 0.0000 0.0000 0.5000  6 Sb 3.17
Th: 0.0000 0.5000 0.0000  6 Sb 3.17
Th: 0.5000 0.0000 0.0000  6 Sb 3.17
Th: 0.5000 0.5000 0.5000  6 Sb 3.25
Sc: 0.0000 0.0000 0.0000  6 Sb 3.07
Sb: 0.2428 0.2428 0.7556  1 Sc 3.07, 2 Ce 3.15, 3 Th 3.17-3.25
Sb: 0.2428 0.7556 0.2428  1 Sc 3.07, 2 Ce 3.15, 3 Th 3.17-3.25
Sb: 0.2444 0.7572 0.7572  1 Sc 3.07, 2 Ce 3.15, 3 Th 3.17-3.25
Sb: 0.2507 0.2507 0.2507  3 Ce 3.15, 3 Th 3.17
Sb: 0.7493 0.7493 0.7493  3 Ce 3.15, 3 Th 3.17
Sb: 0.7556 0.2428 0.2428  1 Sc 3.07, 2 Ce 3.15, 3 Th 3.17-3.25
Sb: 0.7572 0.2444 0.7572  1 Sc 3.07, 2 Ce 3.15, 3 Th 3.17-3.25
Sb: 0.7572 0.7572 0.2444  1 Sc 3.07, 2 Ce 3.15, 3 Th 3.17-3.25

Results
Formation energy without anion corrections   -0.96 eV/atom
Uncorrected energy   -6.38 eV per atom
DOS at the Fermi energy   1.61 states/eV per atom

=====

Question: Look up the formation energy without anion corrections of the third one.
Answer: -1.05 eV/atom